Record 1
Material: Ca2TaMn
Method: DFT, PBE
State: optimized geometry

- Calculated formation energy: 3.19 eV per formula unit
- ρ: 5.44 g/cm3
- Magnetic moment: 4.3 μB/cell

POSCAR file:
```
Ca2TaMn
1.0
-8.9600 -6.2486 -1.3114
-6.7732 -8.3406 -2.3671
-7.3906 -8.1137 0.7698
Ta Mn Ca
1 1 2
Direct
0.7500 0.7500 0.7500
0.2500 0.2500 0.2500
0.4996 0.4996 0.4996
0.0004 0.0004 0.0004
```

=====

Record 2
Material: LaMoP2I
Method: DFT, PBE
State: optimized geometry

- ρ: 5.40 g/cm3
- Magnetic moment: 0.0 μB/cell

POSCAR file:
```
LaMoP2I
1.0
-2.3221 -3.4932 2.0648
3.7308 0.2617 4.6385
-2.8101 3.1006 2.0852
I Mo P La
1 1 2 1
Direct
0.5000 0.5000 0.5000
0.0000 0.0000 0.0000
0.0000 0.0000 0.5000
0.5000 0.0000 0.0000
0.0000 0.5000 0.0000
```

=====

Record 3
Material: PrTmSc2Cd4
Method: DFT, PBE
State: optimized geometry

- Calculated formation energy: -2.24 eV per formula unit
- ρ: 7.11 g/cm3
- Magnetic moment: 0.6 μB/cell

POSCAR file:
```
PrTmSc2Cd4
1.0
5.1825 0.0000 0.0000
2.5913 4.4882 0.0000
2.5913 1.4961 8.5257
Sc Cd Pr Tm
2 4 1 1
Direct
0.2486 0.2486 0.2543
0.7514 0.7514 0.7457
0.6215 0.6215 0.1356
0.8726 0.8726 0.3823
0.1274 0.1274 0.6177
0.3785 0.3785 0.8644
0.0000 0.0000 0.0000
0.5000 0.5000 0.5000
```

=====

| no. | uncorrected energy (eV/f.u.) | DOS at the Fermi energy (states/eV/cell) |
| --- | --- | --- |
| 1 | -21.84 | 5.3 |
| 2 | -29.82 | 3.1 |
| 3 | -27.82 | 8.0 |